## one
First-principles (PBE) data for a geometry-optimized Al2CrTc2 structure, as listed in the Alexandria database.

It has space group P4/mbm (No. 127), with a = 6.6299 Å, b = 6.6299 Å, c = 3.3892 Å, α = 90.00°, β = 90.00° and γ = 90.00°. The inequivalent atoms are Al at (0.1466, 0.3534, 0.0000), Cr at (0.0000, 0.0000, 0.5000) and Tc at (0.1552, 0.6552, 0.5000).

## two
First-principles (PBE) data for a geometry-optimized Al2CrTc2 structure, as listed in the Alexandria database.

It has space group P4/mbm (No. 127), with a = 6.6612 Å, b = 6.6612 Å, c = 3.1785 Å, α = 90.00°, β = 90.00° and γ = 90.00°. The inequivalent atoms are Al at (0.1341, 0.3659, 0.0000), Cr at (0.0000, 0.0000, 0.0000) and Tc at (0.1664, 0.6664, 0.5000).

Short version: two is the most stable of them.

## one
First-principles (PBE) data for a geometry-optimized AlCr3Tc structure, as listed in the Alexandria database.

It has space group Pm-3m (No. 221), with a = 4.3243 Å, b = 4.3243 Å, c = 4.3243 Å, α = 90.00°, β = 90.00° and γ = 90.00°. The inequivalent atoms are Al at (0.0000, 0.0000, 0.0000), Cr at (0.0000, 0.0000, 0.5000) and Tc at (0.5000, 0.5000, 0.5000).

## two
First-principles (PBE) data for a geometry-optimized AlCr3Tc structure, as listed in the Alexandria database.

It has space group Pm-3m (No. 221), with a = 4.5922 Å, b = 4.5922 Å, c = 4.5922 Å, α = 90.00°, β = 90.00° and γ = 90.00°. The inequivalent atoms are Al at (0.0000, 0.0000, 0.0000), Cr at (0.0000, 0.5000, 0.5000) and Tc at (0.5000, 0.5000, 0.5000).

Short version: two is the most stable of them.

## one
First-principles (PBE) data for a geometry-optimized AlVCrTc structure, as listed in the Alexandria database.

It has space group F-43m (No. 216), with a = 6.0554 Å, b = 6.0554 Å, c = 6.0554 Å, α = 90.00°, β = 90.00° and γ = 90.00°. The inequivalent atoms are Al at (0.0000, 0.0000, 0.0000), V at (0.0000, 0.0000, 0.5000), Cr at (0.2500, 0.2500, 0.7500) and Tc at (0.2500, 0.2500, 0.2500).

## two
First-principles (PBE) data for a geometry-optimized AlVCrTc structure, as listed in the Alexandria database.

It has space group Imm2 (No. 44), with a = 3.0448 Å, b = 4.1867 Å, c = 8.4697 Å, α = 90.00°, β = 90.00° and γ = 90.00°. The inequivalent atoms are Al at (0.0000, 0.0000, 0.0000), V at (0.0000, 0.5000, 0.7680), Cr at (0.0000, 0.5000, 0.2431) and Tc at (0.0000, 0.0000, 0.5096).

Short version: one is the most stable of them.